[1]
Density functional theory data (PBE-GGA) for an optimized crystal structure of PaRePbO6.

Cell lengths 8.0652, 7.2844, 7.7968 Å; angles 117.85, 121.15, 90.00 degrees
Sites, in units of the cell vectors:
O: 0.5565 0.9330 0.7655
O: 0.4435 0.0670 0.2345
O: 0.4583 0.7083 0.9166
O: 0.7910 0.0670 0.2345
O: 0.4435 0.6675 0.2345
O: 0.2090 0.3325 0.7655
O: 0.7910 0.6675 0.2345
O: 0.8316 0.0816 0.6631
O: 0.5417 0.2917 0.0834
O: 0.5565 0.3325 0.7655
O: 0.1684 0.9184 0.3369
O: 0.2090 0.9330 0.7655
Re: 0.5000 0.0000 0.0000
Re: 0.5000 0.5000 0.0000
Pb: 0.9672 0.7172 0.9344
Pb: 0.0328 0.2828 0.0656
Pa: 0.0000 0.0000 0.5000
Pa: 0.5000 0.0000 0.5000

crystal system: orthorhombic
formation energy (no corrections): -2.09 eV per atom
space-group type: Imma, No. 74

***

[2]
Density functional theory data (PBE-GGA) for an optimized crystal structure of TlAg2Pb.

Cell lengths 5.1508, 5.1508, 5.1508 Å; angles 60.00, 60.00, 60.00 degrees
Sites, in units of the cell vectors:
Pb: 0.5000 0.5000 0.5000
Ag: 0.0000 0.0000 0.0000
Ag: 0.7500 0.7500 0.7500
Tl: 0.2500 0.2500 0.2500

crystal system: cubic
energy of formation: 0.2107 eV per atom
space-group type: F-43m, No. 216

***

[3]
Density functional theory data (PBE-GGA) for an optimized crystal structure of PrH3Ru.

Cell lengths 3.7519, 3.7519, 3.7519 Å; angles 90.00, 90.00, 90.00 degrees
Sites, in units of the cell vectors:
H: 0.0000 0.0000 0.5000
H: 0.0000 0.5000 0.0000
H: 0.5000 0.0000 0.0000
Ru: 0.0000 0.0000 0.0000
Pr: 0.5000 0.5000 0.5000

crystal system: cubic
space-group type: Pm-3m, No. 221

***

[4]
Density functional theory data (PBE-GGA) for an optimized crystal structure of Si2BMoAs.

Cell lengths 4.7019, 4.7019, 4.7678 Å; angles 90.00, 90.00, 90.00 degrees
Sites, in units of the cell vectors:
As: 0.0000 0.0000 0.0000
Si: 0.5000 0.0000 0.0000
Si: 0.0000 0.5000 0.0000
B: 0.5000 0.5000 0.5000
Mo: 0.0000 0.0000 0.5000

crystal system: tetragonal
formation energy (no corrections): 2.03 eV per atom
space-group type: P4/mmm, No. 123

***

[5]
Density functional theory data (PBE-GGA) for an optimized crystal structure of CsNa2RhI.

Cell lengths 6.6786, 5.0345, 6.6786 Å; angles 90.00, 90.00, 90.00 degrees
Sites, in units of the cell vectors:
Na: 0.5000 0.0000 0.0000
Na: 0.0000 0.0000 0.5000
Rh: 0.0000 0.5000 0.0000
Cs: 0.0000 0.0000 0.0000
I: 0.5000 0.5000 0.5000

crystal system: tetragonal
formation energy (no corrections): 0.51 eV per atom
space-group type: P4/mmm, No. 123

***

[6]
Density functional theory data (PBE-GGA) for an optimized crystal structure of AcNdEr2.

Cell lengths 5.8481, 5.8481, 5.8481 Å; angles 60.00, 60.00, 60.00 degrees
Sites, in units of the cell vectors:
Ac: 0.0000 0.0000 0.0000
Er: 0.2500 0.2500 0.2500
Er: 0.7500 0.7500 0.7500
Nd: 0.5000 0.5000 0.5000

crystal system: cubic
energy of formation: 0.1055 eV per atom
space-group type: Fm-3m, No. 225

***

What did we get for total DFT energy (no corrections)? Answer: -148.35, -10.93, -26.13, -22.86, -9.84, -17.58 eV per cell, in the order shown.
What did we get for V? Answer: 18.25, 24.16, 10.56, 21.08, 44.91, 35.36 Å³ per atom, in the order shown.